[1]
Computed, not measured: an optimized crystal structure of CuTcAg2 at the PBE level of DFT.

Cell: 5.8213 5.8213 5.8213 Å, 102.07 102.07 125.58°
Sites, in units of the cell vectors:
1 Cu 0.0000 0.0000 0.0000
2 Cu 0.7500 0.2500 0.5000
3 Tc 0.2500 0.7500 0.5000
4 Tc 0.5000 0.5000 0.0000
5 Ag 0.0988 0.1250 0.4738
6 Ag 0.3750 0.9012 0.0262
7 Ag 0.6512 0.6250 0.5262
8 Ag 0.8750 0.3488 0.9738

Its symmetry is I-42d. For the theoretical density, the calculation gives 8.78 g/cm³. The calculation puts the relative energy among the computed polymorphs at 0.638 eV per atom. The value obtained for the magnetization is 6.4 Bohr magnetons per cell. The formation energy is 933 meV per atom.

---

[2]
Computed, not measured: an optimized crystal structure of Cu2TcAg at the PBE level of DFT.

Cell: 2.6523 3.7078 5.7923 Å, 90.00 90.15 90.00°
Sites, in units of the cell vectors:
1 Cu 0.0009 0.0000 0.2289
2 Cu 0.9991 0.0000 0.7711
3 Tc 0.5000 0.5000 0.0000
4 Ag 0.5000 0.5000 0.5000

Its symmetry is P2/m. For the theoretical density, the calculation gives 9.71 g/cm³. The calculation puts the relative energy among the computed polymorphs at 0.111 eV per atom. The value obtained for the magnetization is 0.0 Bohr magnetons per cell. The formation energy is 330 meV per atom.

---

[3]
Computed, not measured: an optimized crystal structure of Cu2TcAg at the PBE level of DFT.

Cell: 2.6007 3.9392 5.5503 Å, 90.00 90.00 90.00°
Sites, in units of the cell vectors:
1 Cu 0.0000 0.0000 0.0000
2 Cu 0.5000 0.5000 0.2456
3 Tc 0.0000 0.0000 0.4665
4 Ag 0.5000 0.5000 0.7534

Its symmetry is Pmm2. For the theoretical density, the calculation gives 9.72 g/cm³. The calculation puts the relative energy among the computed polymorphs at 0.168 eV per atom. The value obtained for the magnetization is 0.0 Bohr magnetons per cell. The formation energy is 387 meV per atom.

---

[4]
Computed, not measured: an optimized crystal structure of Cu2TcAg at the PBE level of DFT.

Cell: 5.0309 5.0309 4.7006 Å, 107.58 107.58 30.07°
Sites, in units of the cell vectors:
1 Cu 0.0000 0.0000 0.0000
2 Cu 0.7188 0.7188 0.3356
3 Tc 0.4677 0.4677 0.4766
4 Ag 0.2422 0.2422 0.8447

Its symmetry is Cm. For the theoretical density, the calculation gives 9.76 g/cm³. The calculation puts the relative energy among the computed polymorphs at 0.127 eV per atom. The value obtained for the magnetization is 0.7 Bohr magnetons per cell. The formation energy is 346 meV per atom.

---

[5]
Computed, not measured: an optimized crystal structure of Cu2TcAg at the PBE level of DFT.

Cell: 4.2492 5.2614 5.2614 Å, 28.75 90.00 90.00°
Sites, in units of the cell vectors:
1 Cu 0.0000 0.0000 0.0000
2 Cu 0.5000 0.1346 0.1346
3 Tc 0.0000 0.7314 0.7314
4 Ag 0.5000 0.3903 0.3903

Its symmetry is Amm2. For the theoretical density, the calculation gives 9.77 g/cm³. The calculation puts the relative energy among the computed polymorphs at 0.124 eV per atom. The value obtained for the magnetization is 0.0 Bohr magnetons per cell. The formation energy is 343 meV per atom.

---

[6]
Computed, not measured: an optimized crystal structure of Cu2TcAg at the PBE level of DFT.

Cell: 9.0192 9.0192 9.0192 Å, 17.38 17.38 17.38°
Sites, in units of the cell vectors:
1 Cu 0.2470 0.2470 0.2470
2 Cu 0.7530 0.7530 0.7530
3 Tc 0.5000 0.5000 0.5000
4 Ag 0.0000 0.0000 0.0000

Its symmetry is R-3m. For the theoretical density, the calculation gives 9.68 g/cm³. The calculation puts the relative energy among the computed polymorphs at 0.051 eV per atom. The value obtained for the magnetization is 0.2 Bohr magnetons per cell. The formation energy is 270 meV per atom.

---

[7]
Computed, not measured: an optimized crystal structure of CuTcAg2 at the PBE level of DFT.

Cell: 2.7016 2.7016 8.4801 Å, 90.00 90.00 90.00°
Sites, in units of the cell vectors:
1 Cu 0.0000 0.0000 0.0000
2 Tc 0.5000 0.5000 0.2213
3 Ag 0.0000 0.0000 0.4856
4 Ag 0.5000 0.5000 0.7591

Its symmetry is P4mm. For the theoretical density, the calculation gives 10.12 g/cm³. The calculation puts the relative energy among the computed polymorphs at 0.000 eV per atom. The value obtained for the magnetization is 0.0 Bohr magnetons per cell. The formation energy is 295 meV per atom.

---

[8]
Computed, not measured: an optimized crystal structure of CuTcAg2 at the PBE level of DFT.

Cell: 5.0742 5.0742 2.6368 Å, 90.00 90.00 112.02°
Sites, in units of the cell vectors:
1 Cu 0.0000 0.0000 0.0000
2 Tc 0.5000 0.5000 0.0000
3 Ag 0.0000 0.5000 0.5000
4 Ag 0.5000 0.0000 0.5000

Its symmetry is Cmmm. For the theoretical density, the calculation gives 9.95 g/cm³. The calculation puts the relative energy among the computed polymorphs at 0.191 eV per atom. The value obtained for the magnetization is 0.6 Bohr magnetons per cell. The formation energy is 486 meV per atom.

---

Q: Among the records above, which one has the highest magnetization?
A: number 1

---

Q: Which of these has the highest magnetization?
A: number 1